This record from OQMD via LeMat-Bulk describes a relaxed structure of Nb2Tl3Mo4C3. The functional is PBE-GGA.

Unit cell a=9.6264 b=5.5591 c=14.4749 alpha=90.00 beta=102.73 gamma=90.00
Closest atoms and distances in Å follow each position.
Space group C2/c (No. 15)
Unique sites:
1 Nb 0.0576 0.0844 0.4173 (multiplicity 8)  3 C 2.18-2.20
2 Tl 0.0000 0.4279 0.2500 (multiplicity 4)  2 Nb 3.04, 4 Mo 3.05-3.06, 6 Tl 3.16-3.31
3 Tl 0.1716 0.0877 0.7490 (multiplicity 8)  2 Nb 3.04, 4 Mo 3.05-3.07, 6 Tl 3.16-3.31
4 Mo 0.1087 0.4189 0.5760 (multiplicity 8)  3 C 2.12-2.15
5 Mo 0.2238 0.4147 0.9240 (multiplicity 8)  3 C 2.13-2.15
6 C 0.0834 0.2513 0.0000 (multiplicity 8)  4 Mo 2.12-2.15, 2 Nb 2.20
7 C 0.2500 0.2500 0.5000 (multiplicity 4)  4 Mo 2.15, 2 Nb 2.18

raw total energy	-392.24	eV per cell

---

This record from OQMD via LeMat-Bulk describes a relaxed structure of LiNdHg. The functional is PBE-GGA.

Unit cell a=6.7966 b=4.9114 c=8.5515 alpha=90.00 beta=90.00 gamma=90.00
Closest atoms and distances in Å follow each position.
Space group Pnma (No. 62)
Unique sites:
1 Li 0.2038 0.2500 0.0818 (multiplicity 4)  4 Hg 2.84-2.90
2 Nd 0.0032 0.7500 0.2793 (multiplicity 4)  6 Hg 3.23-3.45, 6 Li 3.26-3.40, 2 Nd 3.44
3 Hg 0.2224 0.7500 0.9155 (multiplicity 4)  4 Li 2.84-2.90

offset from the most stable computed form	0	meV per atom

---

Copy entry 2 word for word.
This record from OQMD via LeMat-Bulk describes a relaxed structure of LiNdHg. The functional is PBE-GGA.

Unit cell a=6.7966 b=4.9114 c=8.5515 alpha=90.00 beta=90.00 gamma=90.00
Closest atoms and distances in Å follow each position.
Space group Pnma (No. 62)
Unique sites:
1 Li 0.2038 0.2500 0.0818 (multiplicity 4)  4 Hg 2.84-2.90
2 Nd 0.0032 0.7500 0.2793 (multiplicity 4)  6 Hg 3.23-3.45, 6 Li 3.26-3.40, 2 Nd 3.44
3 Hg 0.2224 0.7500 0.9155 (multiplicity 4)  4 Li 2.84-2.90

offset from the most stable computed form	0	meV per atom